No. 1
Computed, not measured: a PBEsol-optimized structure of TiTe3Se at the meta-GGA SCAN level of DFT. Values from VASP.

```
&SYSTEM
  ibrav = 0, nat = 5, ntyp = 3
/
ATOMIC_SPECIES
Te 127.60 Te.upf
Se 78.96 Se.upf
Ti 47.87 Ti.upf
CELL_PARAMETERS angstrom
-3.695 -3.345 -1.385
2.927 -1.597 -3.955
2.130 -3.609 3.033
ATOMIC_POSITIONS crystal
Te 0.000 0.500 0.000
Te 0.000 0.000 0.500
Te 0.500 0.000 0.000
Se 0.500 0.500 0.500
Ti 0.000 0.000 0.000
```

---

No. 2
Computed, not measured: a PBEsol-optimized structure of CoSi2Sb at the meta-GGA SCAN level of DFT. Values from VASP.

```
&SYSTEM
  ibrav = 0, nat = 4, ntyp = 3
/
ATOMIC_SPECIES
Co 58.93 Co.upf
Si 28.09 Si.upf
Sb 121.76 Sb.upf
CELL_PARAMETERS angstrom
-1.369 -0.291 3.334
3.171 -1.263 1.192
1.424 4.499 0.977
ATOMIC_POSITIONS crystal
Co 0.500 0.000 0.500
Si 0.500 0.500 0.000
Si 0.000 0.000 0.000
Sb 0.000 0.500 0.500
```

---

No. 3
Computed, not measured: a PBEsol-optimized structure of Cs2MnTe2 at the meta-GGA SCAN level of DFT. Values from VASP.

```
&SYSTEM
  ibrav = 0, nat = 10, ntyp = 3
/
ATOMIC_SPECIES
Te 127.60 Te.upf
Cs 132.91 Cs.upf
Mn 54.94 Mn.upf
CELL_PARAMETERS angstrom
7.115 0.000 0.000
0.000 7.812 0.000
-3.558 -3.906 7.571
ATOMIC_POSITIONS crystal
Te 0.400 0.219 0.801
Te 0.100 0.418 0.199
Te 0.900 0.582 0.801
Te 0.600 0.781 0.199
Cs 0.645 0.319 0.290
Cs 0.355 0.681 0.710
Cs 0.145 0.970 0.290
Cs 0.855 0.030 0.710
Mn 0.750 0.500 0.000
Mn 0.250 0.500 0.000
```

---

No. 4
Computed, not measured: a PBEsol-optimized structure of CuP2SO at the meta-GGA SCAN level of DFT. Values from VASP.

Values from the calculation:
For the energy above the most stable polymorph in this dataset, the calculation gives 629 meV/atom.

```
&SYSTEM
  ibrav = 0, nat = 5, ntyp = 4
/
ATOMIC_SPECIES
O 16.00 O.upf
P 30.97 P.upf
Cu 63.55 Cu.upf
S 32.06 S.upf
CELL_PARAMETERS angstrom
4.376 0.000 0.000
0.000 4.376 0.000
0.000 0.000 4.394
ATOMIC_POSITIONS crystal
O 0.500 0.500 0.500
P 0.500 0.000 0.000
P 0.000 0.500 0.000
Cu 0.000 0.000 0.000
S 0.000 0.000 0.500
```

---

No. 5
Computed, not measured: a PBEsol-optimized structure of Mg2Zn2In at the meta-GGA SCAN level of DFT. Values from VASP.

Values from the calculation:
For the energy relative to the elements, the calculation gives -0.13 eV per atom.

```
&SYSTEM
  ibrav = 0, nat = 10, ntyp = 3
/
ATOMIC_SPECIES
Mg 24.30 Mg.upf
Zn 65.41 Zn.upf
In 114.82 In.upf
CELL_PARAMETERS angstrom
-2.097 3.421 0.856
-5.676 -3.728 0.996
1.608 -0.675 6.638
ATOMIC_POSITIONS crystal
Mg 0.500 0.167 0.667
Mg 0.500 0.333 0.167
Mg 0.500 0.667 0.833
Mg 0.500 0.833 0.333
Zn 0.000 0.627 0.127
Zn 0.000 0.373 0.873
Zn 0.000 0.127 0.373
Zn 0.000 0.873 0.627
In 0.000 0.000 0.000
In 0.000 0.500 0.500
```

---

No. 6
Computed, not measured: a PBEsol-optimized structure of MnAuO3 at the meta-GGA SCAN level of DFT. Values from VASP.

```
&SYSTEM
  ibrav = 0, nat = 5, ntyp = 3
/
ATOMIC_SPECIES
O 16.00 O.upf
Au 196.97 Au.upf
Mn 54.94 Mn.upf
CELL_PARAMETERS angstrom
3.965 0.000 0.000
0.000 3.965 0.000
0.000 0.000 3.965
ATOMIC_POSITIONS crystal
O 0.500 0.000 0.000
O 0.000 0.500 0.000
O 0.000 0.000 0.500
Au 0.000 0.000 0.000
Mn 0.500 0.500 0.500
```

---

No. 7
Computed, not measured: a PBEsol-optimized structure of CuPt2Rh at the meta-GGA SCAN level of DFT. Values from VASP.

Values from the calculation:
For the energy relative to the elements, the calculation gives -0.13 eV per atom.

```
&SYSTEM
  ibrav = 0, nat = 4, ntyp = 3
/
ATOMIC_SPECIES
Cu 63.55 Cu.upf
Rh 102.91 Rh.upf
Pt 195.08 Pt.upf
CELL_PARAMETERS angstrom
2.695 0.000 0.000
0.000 4.661 0.018
0.000 -1.581 4.385
ATOMIC_POSITIONS crystal
Cu 0.500 0.500 0.500
Rh 0.500 0.000 0.000
Pt 0.000 0.000 0.500
Pt 0.000 0.500 0.000
```

---

No. 8
Computed, not measured: a PBEsol-optimized structure of MgHgMo at the meta-GGA SCAN level of DFT. Values from VASP.

Values from the calculation:
For the energy relative to the elements, the calculation gives 0.45 eV per atom. For the energy above the most stable polymorph in this dataset, the calculation gives 162 meV/atom.

```
&SYSTEM
  ibrav = 0, nat = 3, ntyp = 3
/
ATOMIC_SPECIES
Mg 24.30 Mg.upf
Hg 200.59 Hg.upf
Mo 95.94 Mo.upf
CELL_PARAMETERS angstrom
-0.497 1.592 2.345
-3.856 1.688 -1.962
-0.204 -3.859 2.576
ATOMIC_POSITIONS crystal
Mg 0.832 0.333 0.667
Hg 0.834 0.000 0.000
Mo 0.333 0.667 0.333
```

---

No. 9
Computed, not measured: a PBEsol-optimized structure of SrTe2 at the meta-GGA SCAN level of DFT. Values from VASP.

```
&SYSTEM
  ibrav = 0, nat = 12, ntyp = 2
/
ATOMIC_SPECIES
Te 127.60 Te.upf
Sr 87.62 Sr.upf
CELL_PARAMETERS angstrom
4.382 0.000 0.000
0.000 7.947 0.000
0.000 0.000 11.029
ATOMIC_POSITIONS crystal
Te 0.250 0.110 0.547
Te 0.250 0.621 0.338
Te 0.750 0.879 0.838
Te 0.750 0.379 0.662
Te 0.750 0.390 0.047
Te 0.250 0.610 0.953
Te 0.250 0.121 0.162
Te 0.750 0.890 0.453
Sr 0.250 0.193 0.852
Sr 0.250 0.693 0.648
Sr 0.750 0.307 0.352
Sr 0.750 0.807 0.148
```

---

No. 10
Computed, not measured: a PBEsol-optimized structure of LaAg2Pt2 at the meta-GGA SCAN level of DFT. Values from VASP.

Values from the calculation:
For the energy relative to the elements, the calculation gives -0.65 eV per atom.

```
&SYSTEM
  ibrav = 0, nat = 5, ntyp = 3
/
ATOMIC_SPECIES
Pt 195.08 Pt.upf
Ag 107.87 Ag.upf
La 138.91 La.upf
CELL_PARAMETERS angstrom
-1.428 2.259 2.938
-2.325 -2.998 1.175
6.503 -1.711 1.792
ATOMIC_POSITIONS crystal
Pt 0.399 0.399 0.798
Pt 0.601 0.601 0.202
Ag 0.250 0.750 0.500
Ag 0.750 0.250 0.500
La 0.000 0.000 0.000
```

---

No. 11
Computed, not measured: a PBEsol-optimized structure of YZn2Cu at the meta-GGA SCAN level of DFT. Values from VASP.

Values from the calculation:
For the energy relative to the elements, the calculation gives -0.33 eV per atom.

```
&SYSTEM
  ibrav = 0, nat = 4, ntyp = 3
/
ATOMIC_SPECIES
Cu 63.55 Cu.upf
Y 88.91 Y.upf
Zn 65.41 Zn.upf
CELL_PARAMETERS angstrom
-1.949 2.705 2.731
-3.626 2.009 -1.177
-4.159 -1.666 2.082
ATOMIC_POSITIONS crystal
Cu 0.539 0.539 0.382
Y 0.753 0.753 0.741
Zn 0.972 0.972 0.083
Zn 0.237 0.237 0.290
```

---

No. 12
Computed, not measured: a PBEsol-optimized structure of NdCrGeO5 at the meta-GGA SCAN level of DFT. Values from VASP.

```
&SYSTEM
  ibrav = 0, nat = 32, ntyp = 4
/
ATOMIC_SPECIES
Ge 72.64 Ge.upf
Cr 52.00 Cr.upf
Nd 144.24 Nd.upf
O 16.00 O.upf
CELL_PARAMETERS angstrom
-3.068 4.618 1.643
-5.331 -4.473 2.621
3.857 -0.143 7.602
ATOMIC_POSITIONS crystal
Ge 0.000 0.115 0.143
Ge 0.000 0.885 0.857
Ge 0.000 0.615 0.357
Ge 0.000 0.385 0.643
Cr 0.248 0.000 0.500
Cr 0.752 0.000 0.500
Cr 0.752 0.500 0.000
Cr 0.248 0.500 0.000
Nd 0.500 0.359 0.325
Nd 0.500 0.141 0.825
Nd 0.500 0.641 0.675
Nd 0.500 0.859 0.175
O 0.000 0.839 0.427
O 0.791 0.000 0.000
O 0.244 0.103 0.283
O 0.500 0.664 0.948
O 0.756 0.603 0.217
O 0.756 0.103 0.283
O 0.244 0.397 0.783
O 0.756 0.897 0.717
O 0.500 0.164 0.552
O 0.756 0.397 0.783
O 0.000 0.339 0.073
O 0.500 0.336 0.052
O 0.209 0.000 0.000
O 0.500 0.836 0.448
O 0.244 0.897 0.717
O 0.209 0.500 0.500
O 0.000 0.661 0.927
O 0.244 0.603 0.217
O 0.000 0.161 0.573
O 0.791 0.500 0.500
```

---

No. 13
Computed, not measured: a PBEsol-optimized structure of Tl2OsRh at the meta-GGA SCAN level of DFT. Values from VASP.

Values from the calculation:
For the energy relative to the elements, the calculation gives 1.04 eV per atom. For the energy above the most stable polymorph in this dataset, the calculation gives 94 meV/atom.

```
&SYSTEM
  ibrav = 0, nat = 4, ntyp = 3
/
ATOMIC_SPECIES
Tl 204.38 Tl.upf
Rh 102.91 Rh.upf
Os 190.23 Os.upf
CELL_PARAMETERS angstrom
4.661 0.000 0.000
2.331 4.037 0.000
2.331 1.346 3.806
ATOMIC_POSITIONS crystal
Tl 0.250 0.250 0.250
Tl 0.000 0.000 0.000
Rh 0.750 0.750 0.750
Os 0.500 0.500 0.500
```

---

No. 14
Computed, not measured: a PBEsol-optimized structure of ErSbRh2 at the meta-GGA SCAN level of DFT. Values from VASP.

```
&SYSTEM
  ibrav = 0, nat = 4, ntyp = 3
/
ATOMIC_SPECIES
Sb 121.76 Sb.upf
Rh 102.91 Rh.upf
Er 167.26 Er.upf
CELL_PARAMETERS angstrom
-3.048 2.903 -1.888
-4.420 -0.118 1.318
-1.753 3.455 2.506
ATOMIC_POSITIONS crystal
Sb 0.500 0.500 0.500
Rh 0.750 0.750 0.750
Rh 0.250 0.250 0.250
Er 0.000 0.000 0.000
```

---

No. 15
Computed, not measured: a PBEsol-optimized structure of CuMoBr2 at the meta-GGA SCAN level of DFT. Values from VASP.

```
&SYSTEM
  ibrav = 0, nat = 4, ntyp = 3
/
ATOMIC_SPECIES
Br 79.90 Br.upf
Mo 95.94 Mo.upf
Cu 63.55 Cu.upf
CELL_PARAMETERS angstrom
4.762 0.000 0.000
2.381 4.124 0.000
2.381 1.375 3.888
ATOMIC_POSITIONS crystal
Br 0.000 0.000 0.000
Br 0.750 0.750 0.750
Mo 0.250 0.250 0.250
Cu 0.500 0.500 0.500
```

---

No. 16
Computed, not measured: a PBEsol-optimized structure of BaP2SeI at the meta-GGA SCAN level of DFT. Values from VASP.

```
&SYSTEM
  ibrav = 0, nat = 5, ntyp = 4
/
ATOMIC_SPECIES
I 126.90 I.upf
P 30.97 P.upf
Se 78.96 Se.upf
Ba 137.33 Ba.upf
CELL_PARAMETERS angstrom
-1.650 -0.081 -4.895
-4.641 -1.618 1.591
-1.633 5.143 0.466
ATOMIC_POSITIONS crystal
I 0.000 0.000 0.000
P 0.500 0.000 0.000
P 0.000 0.500 0.000
Se 0.000 0.000 0.500
Ba 0.500 0.500 0.500
```

---

No. 17
Computed, not measured: a PBEsol-optimized structure of LiCa2Ru at the meta-GGA SCAN level of DFT. Values from VASP.

Values from the calculation:
For the energy relative to the elements, the calculation gives 0.29 eV per atom.

```
&SYSTEM
  ibrav = 0, nat = 4, ntyp = 3
/
ATOMIC_SPECIES
Li 6.94 Li.upf
Ru 101.07 Ru.upf
Ca 40.08 Ca.upf
CELL_PARAMETERS angstrom
3.462 0.000 0.000
0.000 3.462 0.000
0.000 0.000 7.622
ATOMIC_POSITIONS crystal
Li 0.000 0.000 0.567
Ru 0.500 0.500 0.687
Ca 0.000 0.000 0.916
Ca 0.500 0.500 0.330
```

---

No. 18
Computed, not measured: a PBEsol-optimized structure of ZrBeSiRh2 at the meta-GGA SCAN level of DFT. Values from VASP.

```
&SYSTEM
  ibrav = 0, nat = 5, ntyp = 4
/
ATOMIC_SPECIES
Rh 102.91 Rh.upf
Zr 91.22 Zr.upf
Si 28.09 Si.upf
Be 9.01 Be.upf
CELL_PARAMETERS angstrom
4.541 0.000 0.000
0.000 4.676 0.000
0.000 0.000 4.676
ATOMIC_POSITIONS crystal
Rh 0.000 0.000 0.500
Rh 0.000 0.500 0.000
Zr 0.000 0.000 0.000
Si 0.500 0.500 0.500
Be 0.500 0.000 0.000
```

---

No. 19
Computed, not measured: a PBEsol-optimized structure of Na3NbRe at the meta-GGA SCAN level of DFT. Values from VASP.

Values from the calculation:
For the energy relative to the elements, the calculation gives 2.47 eV per atom.

```
&SYSTEM
  ibrav = 0, nat = 5, ntyp = 3
/
ATOMIC_SPECIES
Na 22.99 Na.upf
Re 186.21 Re.upf
Nb 92.91 Nb.upf
CELL_PARAMETERS angstrom
-2.273 -3.212 -4.142
-3.166 -2.757 3.875
-4.178 3.837 -0.683
ATOMIC_POSITIONS crystal
Na 0.000 0.500 0.000
Na 0.500 0.000 0.000
Na 0.000 0.000 0.500
Re 0.500 0.500 0.500
Nb 0.000 0.000 0.000
```

---

No. 20
Computed, not measured: a PBEsol-optimized structure of KSr8 at the meta-GGA SCAN level of DFT. Values from VASP.

Values from the calculation:
For the energy relative to the elements, the calculation gives 0.04 eV per atom.

```
&SYSTEM
  ibrav = 0, nat = 9, ntyp = 2
/
ATOMIC_SPECIES
Sr 87.62 Sr.upf
K 39.10 K.upf
CELL_PARAMETERS angstrom
5.956 0.000 0.000
2.978 8.958 0.000
2.978 0.000 8.958
ATOMIC_POSITIONS crystal
Sr 0.664 0.336 0.336
Sr 0.336 0.664 0.664
Sr 0.000 0.336 0.664
Sr 0.669 0.000 0.662
Sr 0.000 0.664 0.336
Sr 0.669 0.662 0.000
Sr 0.331 0.000 0.338
Sr 0.331 0.338 0.000
K 0.000 0.000 0.000
```

---

It is found that the calculated total energy values, taken in the order of the records, are -29.415 -17.989 -34.763 -9.071 -14.206 -21.400 -47.472 -35.559 -33.525 -49.892 -17.843 -16.775 -61.552 -39.624 -21.206 -23.257 -13.850 -21.125 -20.907 -20.681 eV/atom.
It is found that the V values, taken in the order of the records, are 27.7 15.7 42.1 16.8 19.3 12.5 13.8 17.9 32.0 20.1 17.2 11.5 17.9 17.4 19.1 28.9 22.8 19.9 37.3 53.1 Å³ per atom.